Record 1
TaCuSiAg after structural relaxation, computed with GGA-PBE.

a = 6.298 Å, b = 6.298 Å, c = 6.298 Å
α = 90.00°, β = 90.00°, γ = 90.00°
Space group F-43m (No. 216)
Unique sites:
Ta: 0.000 0.000 0.000 x4
Cu: 0.250 0.250 0.750 x4
Si: 0.000 0.000 0.500 x4
Ag: 0.250 0.250 0.250 x4

The crystal system is cubic. The calculation puts the total DFT energy (no corrections) at -5.38 eV/atom.

Record 2
TaCuSiAg after structural relaxation, computed with GGA-PBE.

a = 6.272 Å, b = 6.272 Å, c = 6.272 Å
α = 90.00°, β = 90.00°, γ = 90.00°
Space group F-43m (No. 216)
Unique sites:
Ta: 0.000 0.000 0.000 x4
Cu: 0.000 0.000 0.500 x4
Si: 0.250 0.250 0.250 x4
Ag: 0.250 0.250 0.750 x4

The crystal system is cubic. The calculation puts the total DFT energy (no corrections) at -5.67 eV/atom.

Record 3
TbCuSi2Ag after structural relaxation, computed with GGA-PBE.

a = 4.078 Å, b = 4.078 Å, c = 10.379 Å
α = 90.00°, β = 90.00°, γ = 90.00°
Space group I-4m2 (No. 119)
Unique sites:
Tb: 0.000 0.000 0.000 x2
Cu: 0.000 0.500 0.750 x2
Si: 0.000 0.000 0.388 x4
Ag: 0.000 0.500 0.250 x2

The crystal system is tetragonal. The calculation puts the total DFT energy (no corrections) at -4.87 eV/atom.

Record 4
CuSiTcAg after structural relaxation, computed with GGA-PBE.

a = 6.109 Å, b = 6.109 Å, c = 6.109 Å
α = 90.00°, β = 90.00°, γ = 90.00°
Space group F-43m (No. 216)
Unique sites:
Cu: 0.000 0.000 0.000 x4
Si: 0.250 0.250 0.750 x4
Tc: 0.000 0.000 0.500 x4
Ag: 0.250 0.250 0.250 x4

The crystal system is cubic. The calculation puts the total DFT energy (no corrections) at -5.35 eV/atom.

Record 5
ZnCuSiAgTe4 after structural relaxation, computed with GGA-PBE.

a = 6.142 Å, b = 6.142 Å, c = 12.281 Å
α = 90.00°, β = 90.00°, γ = 90.00°
Space group I-4 (No. 82)
Unique sites:
Zn: 0.000 0.000 0.000 x2
Cu: 0.000 0.500 0.250 x2
Si: 0.000 0.000 0.500 x2
Ag: 0.000 0.500 0.750 x2
Te: 0.227 0.747 0.376 x8

The crystal system is tetragonal. The calculation puts the total DFT energy (no corrections) at -3.39 eV/atom.

Record 6
YCuSiAg after structural relaxation, computed with GGA-PBE.

a = 6.586 Å, b = 6.586 Å, c = 6.586 Å
α = 90.00°, β = 90.00°, γ = 90.00°
Space group F-43m (No. 216)
Unique sites:
Y: 0.000 0.000 0.000 x4
Cu: 0.250 0.250 0.750 x4
Si: 0.000 0.000 0.500 x4
Ag: 0.250 0.250 0.250 x4

The crystal system is cubic. The calculation puts the total DFT energy (no corrections) at -4.78 eV/atom.

Record 7
YCuSiAg after structural relaxation, computed with GGA-PBE.

a = 6.632 Å, b = 6.632 Å, c = 6.632 Å
α = 90.00°, β = 90.00°, γ = 90.00°
Space group F-43m (No. 216)
Unique sites:
Y: 0.000 0.000 0.000 x4
Cu: 0.000 0.000 0.500 x4
Si: 0.250 0.250 0.250 x4
Ag: 0.250 0.250 0.750 x4

The crystal system is cubic. The calculation puts the total DFT energy (no corrections) at -4.77 eV/atom.

Record 8
ZnCuSiAg after structural relaxation, computed with GGA-PBE.

a = 6.222 Å, b = 6.222 Å, c = 6.222 Å
α = 90.00°, β = 90.00°, γ = 90.00°
Space group F-43m (No. 216)
Unique sites:
Zn: 0.000 0.000 0.000 x4
Cu: 0.000 0.000 0.500 x4
Si: 0.250 0.250 0.250 x4
Ag: 0.250 0.250 0.750 x4

The crystal system is cubic. The calculation puts the total DFT energy (no corrections) at -3.08 eV/atom.